[1]
First-principles (PBE) data for a relaxed CaFeSN2 crystal, as listed in the Alexandria database.

Values from the calculation:
**Raw formation energy**: -0.26 eV per formula unit

Lattice parameters (Å, degrees): 3.7078 3.7078 4.9552 90.00 90.00 90.00
Closest atoms and distances in Å follow each position.
Space group P4/mmm (No. 123)
Asymmetric unit:
Ca (0.0000, 0.0000, 0.0000) (multiplicity 1)  4 S 2.62
Fe (0.5000, 0.5000, 0.5000) (multiplicity 1)  4 N 1.85
S (0.5000, 0.5000, 0.0000) (multiplicity 1)  2 Fe 2.48, 4 Ca 2.62
N (0.0000, 0.5000, 0.5000) (multiplicity 2)  2 Fe 1.85


[2]
First-principles (PBE) data for a relaxed AcIF crystal, as listed in the Alexandria database.

Values from the calculation:
**Raw formation energy**: -7.35 eV per formula unit

Lattice parameters (Å, degrees): 4.0724 4.4947 11.7560 90.84 90.10 90.05
Closest atoms and distances in Å follow each position.
Space group P-1 (No. 2)
Asymmetric unit:
Ac (0.9997, 0.2441, 0.3457) (multiplicity 2)  3 F 2.50-2.53
I (0.4984, 0.7377, 0.1828) (multiplicity 2)  4 Ac 3.58-3.59, 2 F 3.63-3.64
F (0.0010, 0.7478, 0.4393) (multiplicity 2)  3 Ac 2.50-2.53, 2 F 2.66


[3]
First-principles (PBE) data for a relaxed Y4Te2SeS crystal, as listed in the Alexandria database.

Values from the calculation:
**Raw formation energy**: -12.91 eV per formula unit

Lattice parameters (Å, degrees): 7.2466 4.1325 7.3567 90.00 108.86 90.00
Closest atoms and distances in Å follow each position.
Space group P2/m (No. 10)
Asymmetric unit:
Y (0.2242, 0.0000, 0.2059) (multiplicity 2)  2 S 2.76, 1 Se 2.87
Y (0.2496, 0.5000, 0.7903) (multiplicity 2)  1 S 2.73, 2 Se 2.85
Te (0.0000, 0.0000, 0.5000) (multiplicity 1)  6 Y 3.10
Te (0.5000, 0.5000, 0.5000) (multiplicity 1)  6 Y 3.19-3.22
Se (0.5000, 0.0000, 0.0000) (multiplicity 1)  6 Y 2.85-2.87
S (0.0000, 0.5000, 0.0000) (multiplicity 1)  6 Y 2.73-2.76